Entry from the Alexandria database: an optimized crystal structure of TaGaTc2Ag (PBE).

Cell: 4.7503 4.7503 5.1979 Å, 90.00 90.00 90.00°
With the nearest neighbours (Å) after each atom.
Positions (direct):
Ta: 0.0000 0.0000 0.0000  4 Tc 2.38, 2 Ag 2.60
Ga: 0.5000 0.5000 0.5000  4 Ag 3.36, 8 Tc 3.52
Tc: 0.0000 0.5000 0.0000  2 Ta 2.38
Tc: 0.5000 0.0000 0.0000  2 Ta 2.38
Ag: 0.0000 0.0000 0.5000  2 Ta 2.60

Summary:
Spin magnetization   2.499 μB per formula unit
Symmetry   P4/mmm (123)
Calculated formation energy   1569 meV/atom